(1)
# TlTc2Hg

An optimized crystal structure of TlTc2Hg (PBE-GGA, Alexandria).

Summary:
distance to the lowest polymorph of the same formula	552.7	meV per atom
magnetization	1.474	μB/f.u.
SG	No. 47
raw total energy	-4.999	eV/atom
energy of formation from the pure elements	0.8515	eV/atom

Lattice parameters (Å, degrees): 3.0361 4.8155 5.0524 90.00 90.00 90.00
Closest atoms and distances in Å follow each position.
Fractional positions:
Tl1 0.0000 0.0000 0.0000  4 Tc 2.85, 4 Hg 2.95, 2 Tl 3.04
Tc1 0.0000 0.5000 0.5000  4 Hg 2.85, 6 Tc 2.95-3.04
Tc2 0.5000 0.5000 0.0000  4 Tl 2.85, 6 Tc 2.95-3.04
Hg1 0.5000 0.0000 0.5000  4 Tc 2.85, 4 Tl 2.95, 2 Hg 3.04

***

(2)
# Tl2TcHg2

An optimized crystal structure of Tl2TcHg2 (PBE-GGA, Alexandria).

Summary:
distance to the lowest polymorph of the same formula	32.3	meV per atom
magnetization	2.675	μB/f.u.
SG	No. 139
raw total energy	-2.381	eV/atom
energy of formation from the pure elements	0.7591	eV/atom

Lattice parameters (Å, degrees): 9.1361 9.1361 9.1361 155.20 155.20 35.35
Closest atoms and distances in Å follow each position.
Fractional positions:
Tl1 0.0860 0.0860 0.0000  1 Tl 2.99, 4 Tc 3.15
Tl2 0.9140 0.9140 0.0000  1 Tl 2.99, 4 Tc 3.15
Tc1 0.5000 0.5000 0.0000  8 Tl 3.15
Hg1 0.2500 0.7500 0.5000  4 Hg 2.77
Hg2 0.7500 0.2500 0.5000  4 Hg 2.77

***

(3)
# TlTcHg2

An optimized crystal structure of TlTcHg2 (PBE-GGA, Alexandria).

Summary:
distance to the lowest polymorph of the same formula	181.5	meV per atom
magnetization	1.845	μB/f.u.
SG	No. 47
raw total energy	-2.677	eV/atom
energy of formation from the pure elements	0.6566	eV/atom

Lattice parameters (Å, degrees): 3.2410 4.9759 5.3142 90.00 90.00 90.00
Closest atoms and distances in Å follow each position.
Fractional positions:
Tl1 0.0000 0.0000 0.0000  4 Tc 2.97, 4 Hg 3.11, 2 Tl 3.24
Tc1 0.5000 0.5000 0.0000  4 Tl 2.97, 4 Hg 3.11, 2 Tc 3.24
Hg1 0.0000 0.5000 0.5000  6 Hg 2.97-3.24, 4 Tc 3.11
Hg2 0.5000 0.0000 0.5000  6 Hg 2.97-3.24, 4 Tl 3.11

***

(4)
# TlTcHg2

An optimized crystal structure of TlTcHg2 (PBE-GGA, Alexandria).

Summary:
distance to the lowest polymorph of the same formula	135.1	meV per atom
magnetization	1.597	μB/f.u.
SG	No. 65
raw total energy	-2.724	eV/atom
energy of formation from the pure elements	0.6102	eV/atom

Lattice parameters (Å, degrees): 5.3515 5.3515 3.2180 90.00 90.00 113.78
Closest atoms and distances in Å follow each position.
Fractional positions:
Tl1 0.0000 0.0000 0.0000  2 Tc 2.92, 8 Hg 3.12, 2 Tl 3.22
Tc1 0.5000 0.5000 0.0000  2 Tl 2.92, 8 Hg 3.12, 2 Tc 3.22
Hg1 0.0000 0.5000 0.5000  4 Hg 2.92-3.22, 4 Tl 3.12, 4 Tc 3.12
Hg2 0.5000 0.0000 0.5000  4 Hg 2.92-3.22, 4 Tl 3.12, 4 Tc 3.12

***

(5)
# TlTc2Hg

An optimized crystal structure of TlTc2Hg (PBE-GGA, Alexandria).

Summary:
distance to the lowest polymorph of the same formula	380.3	meV per atom
magnetization	0.000	μB/f.u.
SG	No. 44
raw total energy	-5.171	eV/atom
energy of formation from the pure elements	0.6791	eV/atom

Lattice parameters (Å, degrees): 6.1718 6.1718 6.1718 152.63 133.84 54.50
Closest atoms and distances in Å follow each position.
Fractional positions:
Tl1 0.0000 0.0000 0.0000  6 Tc 2.90-3.17, 2 Tl 2.92
Tc1 0.5608 0.5608 0.0000  2 Tc 2.48
Tc2 0.7439 0.2439 0.5000  2 Tc 2.48
Hg1 0.2916 0.7916 0.5000  4 Tc 2.87, 2 Hg 2.92

***

(6)
# TlTc2Hg

An optimized crystal structure of TlTc2Hg (PBE-GGA, Alexandria).

Summary:
distance to the lowest polymorph of the same formula	518.7	meV per atom
magnetization	0.509	μB/f.u.
SG	No. 119
raw total energy	-5.033	eV/atom
energy of formation from the pure elements	0.8175	eV/atom

Lattice parameters (Å, degrees): 5.0427 5.0427 5.0427 130.93 130.93 71.92
Closest atoms and distances in Å follow each position.
Fractional positions:
Tl1 0.0000 0.0000 0.0000  8 Tc 2.92-2.96, 4 Hg 2.92
Tc1 0.5000 0.5000 0.0000  4 Hg 2.92, 4 Tc 2.92, 4 Tl 2.96
Tc2 0.7500 0.2500 0.5000  4 Tc 2.92, 4 Tl 2.92, 4 Hg 2.96
Hg1 0.2500 0.7500 0.5000  8 Tc 2.92-2.96, 4 Tl 2.92